# PmReMoO6 GGA+U relaxed
# - symmetry = No. 163
# - raw total energy (Ry/atom) = -0.58912
data_PmReMoO6
_chemical_formula_sum 'Pm2 Re2 Mo2 O12'
_space_group_name_H-M_alt 'P 1'
_space_group_IT_number 1
_space_group_name_Hall 'P 1'
_cell_length_a 5.532
_cell_length_b 5.532
_cell_length_c 8.796
_cell_angle_alpha 90.00
_cell_angle_beta 90.00
_cell_angle_gamma 120.00
loop_
_atom_site_label
_atom_site_type_symbol
_atom_site_fract_x
_atom_site_fract_y
_atom_site_fract_z
_atom_site_occupancy
O1 O 0.364 0.306 0.374 1
O2 O 0.694 0.636 0.126 1
O3 O 0.942 0.636 0.374 1
O4 O 0.058 0.364 0.626 1
O5 O 0.306 0.942 0.626 1
O6 O 0.364 0.058 0.126 1
O7 O 0.306 0.364 0.874 1
O8 O 0.694 0.058 0.374 1
O9 O 0.058 0.694 0.874 1
O10 O 0.636 0.694 0.626 1
O11 O 0.636 0.942 0.874 1
O12 O 0.942 0.306 0.126 1
Mo1 Mo 0.000 0.000 0.000 1
Mo2 Mo 0.000 0.000 0.500 1
Pm1 Pm 0.667 0.333 0.750 1
Pm2 Pm 0.333 0.667 0.250 1
Re1 Re 0.667 0.333 0.250 1
Re2 Re 0.333 0.667 0.750 1